# 1
Compound: CsRb2RhI6
Source: the Alexandria database
Functional: PBE
Structure: optimized geometry

Lattice parameters (Å, degrees): 8.8366 8.8366 8.8364 60.00 60.00 90.00
Positions (direct):
I 0.2843 0.2843 0.4315
I 0.7157 0.7157 0.5685
I 0.2842 0.7158 0.0000
I 0.7158 0.7158 0.0000
I 0.7158 0.2842 0.0000
I 0.2842 0.2842 0.0000
Rh 0.5000 0.5000 0.0000
Rb 0.2500 0.7500 0.5000
Rb 0.7500 0.2500 0.5000
Cs 0.0000 0.0000 0.0000

Calculated values
Raw total energy, eV/atom: -2.85
Formation energy without anion corrections, eV/atom: -0.90

***

# 2
Compound: TmCdHgRh
Source: the Alexandria database
Functional: PBE
Structure: optimized geometry

Lattice parameters (Å, degrees): 4.8612 4.8612 4.8612 60.00 60.00 60.00
Positions (direct):
Tm 0.2500 0.2500 0.2500
Hg 0.0000 0.0000 0.0000
Rh 0.5000 0.5000 0.5000
Cd 0.7500 0.7500 0.7500

Calculated values
Raw total energy, eV/atom: -3.63
Formation enthalpy at 0 K, eV per atom: -0.371

***

# 3
Compound: In2RuI
Source: the Alexandria database
Functional: PBE
Structure: optimized geometry

Lattice parameters (Å, degrees): 6.5652 6.5652 8.2601 66.58 66.58 90.00
Positions (direct):
I 0.0000 0.0000 0.0000
I 0.7500 0.2500 0.5000
Ru 0.2500 0.7500 0.5000
Ru 0.5000 0.5000 0.0000
In 0.5327 0.1250 0.2500
In 0.3750 0.4673 0.7500
In 0.2173 0.6250 0.2500
In 0.8750 0.7827 0.7500

Calculated values
Polymorph energy (0 for the lowest one), eV per atom: 0.000
Raw total energy, eV/atom: -3.57
Formation energy without anion corrections, eV/atom: 0.50

***

# 4
Compound: TbSmPd6
Source: the Alexandria database
Functional: PBE
Structure: optimized geometry

Lattice parameters (Å, degrees): 4.1556 4.1556 8.3015 90.00 90.00 90.00
Positions (direct):
Pd 0.5000 0.0000 0.7468
Pd 0.0000 0.5000 0.2532
Pd 0.0000 0.5000 0.7468
Pd 0.5000 0.5000 0.5000
Pd 0.5000 0.5000 0.0000
Pd 0.5000 0.0000 0.2532
Sm 0.0000 0.0000 0.0000
Tb 0.0000 0.0000 0.5000

Calculated values
Raw total energy, eV/atom: -5.90
Formation enthalpy at 0 K, eV per atom: -0.833

***

# 5
Compound: Cs4SrSn3Cl12
Source: the Alexandria database
Functional: PBE
Structure: optimized geometry

Lattice parameters (Å, degrees): 9.8043 9.8043 9.8043 109.47 109.47 109.47
Positions (direct):
Cl 0.7483 0.0000 0.7483
Cl 0.2517 0.2517 0.0000
Cl 0.5000 0.7500 0.2500
Cl 0.0000 0.7483 0.7483
Cl 0.7483 0.7483 0.0000
Cl 0.0000 0.2517 0.2517
Cl 0.7500 0.5000 0.2500
Cl 0.2500 0.7500 0.5000
Cl 0.7500 0.2500 0.5000
Cl 0.5000 0.2500 0.7500
Cl 0.2500 0.5000 0.7500
Cl 0.2517 0.0000 0.2517
Sn 0.5000 0.5000 0.0000
Sn 0.0000 0.5000 0.5000
Sn 0.5000 0.0000 0.5000
Cs 0.0000 0.5000 0.0000
Cs 0.0000 0.0000 0.5000
Cs 0.5000 0.5000 0.5000
Cs 0.5000 0.0000 0.0000
Sr 0.0000 0.0000 0.0000

Calculated values
Raw total energy, eV/atom: -3.61
Formation energy without anion corrections, eV/atom: -1.65

***

# 6
Compound: FeCo4
Source: the Alexandria database
Functional: PBE
Structure: optimized geometry

Lattice parameters (Å, degrees): 10.4762 10.3576 2.4442 86.03 80.51 13.46
Positions (direct):
Co 0.2997 0.2997 0.7003
Co 0.8999 0.8999 0.1001
Co 0.7003 0.7003 0.2997
Co 0.1001 0.1001 0.8999
Fe 0.5000 0.5000 0.5000

Calculated values
Polymorph energy (0 for the lowest one), eV per atom: 0.027
Raw total energy, eV/atom: -7.32
Formation enthalpy at 0 K, eV per atom: 0.058

***

# 7
Compound: La4TcNi
Source: the Alexandria database
Functional: PBE
Structure: optimized geometry

Lattice parameters (Å, degrees): 6.5259 8.2490 8.2492 110.58 109.24 109.24
Positions (direct):
La 0.5989 0.3032 0.9583
La 0.4011 0.6968 0.0417
La 0.7657 0.6257 0.7651
La 0.2343 0.3743 0.2349
La 0.9011 0.0417 0.6968
La 0.7343 0.2349 0.3743
La 0.0989 0.9583 0.3032
La 0.2657 0.7651 0.6257
Ni 0.2500 0.3682 0.6318
Ni 0.7500 0.6318 0.3682
Tc 0.2500 0.0019 0.9981
Tc 0.7500 0.9981 0.0019

Calculated values
Polymorph energy (0 for the lowest one), eV per atom: 0.000
Raw total energy, eV/atom: -6.10
Formation enthalpy at 0 K, eV per atom: -0.122

***

# 8
Compound: CaPrGa2Rh2
Source: the Alexandria database
Functional: PBE
Structure: optimized geometry

Lattice parameters (Å, degrees): 4.3236 4.3236 7.9769 90.00 90.00 120.00
Positions (direct):
Pr 0.0000 0.0000 0.0000
Rh 0.6667 0.3333 0.2387
Rh 0.3333 0.6667 0.7613
Ga 0.6667 0.3333 0.7428
Ga 0.3333 0.6667 0.2572
Ca 0.0000 0.0000 0.5000

Calculated values
Raw total energy, eV/atom: -5.27
Formation enthalpy at 0 K, eV per atom: -0.684

***

# 9
Compound: Sc2TiTl3Se6
Source: the Alexandria database
Functional: PBE
Structure: optimized geometry

Lattice parameters (Å, degrees): 6.7774 6.7774 8.0867 98.06 98.06 119.95
Positions (direct):
Tl 0.1705 0.8295 0.5000
Tl 0.5000 0.5000 0.5000
Tl 0.8295 0.1705 0.5000
Sc 0.3340 0.6660 0.0000
Sc 0.6660 0.3340 0.0000
Se 0.6121 0.9361 0.8081
Se 0.2592 0.2592 0.8044
Se 0.0639 0.3879 0.1919
Se 0.9361 0.6121 0.8081
Se 0.7408 0.7408 0.1956
Se 0.3879 0.0639 0.1919
Ti 0.0000 0.0000 0.0000

Calculated values
Raw total energy, eV/atom: -5.15
Formation energy without anion corrections, eV/atom: -1.10

***

# 10
Compound: CeU2FeN4
Source: the Alexandria database
Functional: PBE
Structure: optimized geometry

Lattice parameters (Å, degrees): 3.4146 5.9407 11.2141 90.00 90.00 106.70
Positions (direct):
N 0.2704 0.5409 0.3843
N 0.7296 0.4591 0.6157
N 0.0000 0.0000 0.0000
N 0.4444 0.8888 0.7500
N 0.7296 0.4591 0.8843
N 0.0000 0.0000 0.5000
N 0.2704 0.5409 0.1157
N 0.5556 0.1112 0.2500
Fe 0.1595 0.3191 0.2500
Fe 0.8405 0.6809 0.7500
U 0.6313 0.2627 0.4420
U 0.6313 0.2627 0.0580
U 0.3687 0.7373 0.5580
U 0.3687 0.7373 0.9420
Ce 0.8960 0.7920 0.2500
Ce 0.1040 0.2080 0.7500

Calculated values
Raw total energy, eV/atom: -9.99
Formation energy without anion corrections, eV/atom: -1.21

***

# 11
Compound: AcZnGa2
Source: the Alexandria database
Functional: PBE
Structure: optimized geometry

Lattice parameters (Å, degrees): 4.4398 4.5299 9.4489 103.87 90.00 90.00
Positions (direct):
Zn 0.2500 0.6729 0.3459
Zn 0.7500 0.3271 0.6541
Ga 0.7500 0.4658 0.9317
Ga 0.2500 0.5342 0.0683
Ga 0.2500 0.2499 0.4997
Ga 0.7500 0.7501 0.5003
Ac 0.7500 0.1069 0.2139
Ac 0.2500 0.8931 0.7861

Calculated values
Polymorph energy (0 for the lowest one), eV per atom: 0.000
Raw total energy, eV/atom: -3.39
Formation enthalpy at 0 K, eV per atom: -0.526

***

# 12
Compound: Li4P2Au
Source: the Alexandria database
Functional: PBE
Structure: optimized geometry

Lattice parameters (Å, degrees): 4.2415 4.2415 8.3996 75.38 75.38 60.00
Positions (direct):
Li 0.6037 0.6037 0.1890
Li 0.2017 0.2017 0.3950
Li 0.3963 0.3963 0.8110
Li 0.7983 0.7983 0.6050
Au 0.0000 0.0000 0.0000
P 0.9032 0.9032 0.2903
P 0.0968 0.0968 0.7097

Calculated values
Raw total energy, eV/atom: -3.64
Formation enthalpy at 0 K, eV per atom: -0.537

***

# 13
Compound: RbRhI2O
Source: the Alexandria database
Functional: PBE
Structure: optimized geometry

Lattice parameters (Å, degrees): 5.9841 5.9841 3.8259 90.00 90.00 90.00
Positions (direct):
I 0.5000 0.0000 0.0000
I 0.0000 0.5000 0.0000
Rh 0.0000 0.0000 0.0000
O 0.0000 0.0000 0.5000
Rb 0.5000 0.5000 0.5000

Calculated values
Polymorph energy (0 for the lowest one), eV per atom: 0.000
Raw total energy, eV/atom: -3.91
Formation energy without anion corrections, eV/atom: -0.63

***

# 14
Compound: K4La3SnTe8
Source: the Alexandria database
Functional: PBE
Structure: optimized geometry

Lattice parameters (Å, degrees): 9.3509 9.8430 9.3521 118.38 120.00 90.00
Positions (direct):
La 0.0000 0.5000 0.5000
La 0.5000 0.5000 0.0000
La 0.5000 0.5000 0.5000
Te 0.7676 0.2886 0.0209
Te 0.2533 0.2886 0.0209
Te 0.2325 0.7115 0.4650
Te 0.2324 0.7114 0.9791
Te 0.7392 0.7175 0.4784
Te 0.7675 0.2885 0.5350
Te 0.2608 0.2825 0.5216
Te 0.7467 0.7114 0.9791
K 0.0000 0.0000 0.5000
K 0.5000 0.0000 0.0000
K 0.5000 0.0000 0.5000
K 0.0000 0.0000 0.0000
Sn 0.0000 0.5000 0.0000

Calculated values
Raw total energy, eV/atom: -4.26
Formation energy without anion corrections, eV/atom: -1.24

***

# 15
Compound: Ag3SeS
Source: the Alexandria database
Functional: PBE
Structure: optimized geometry

Lattice parameters (Å, degrees): 3.7113 7.6617 8.3864 81.29 102.78 90.00
Positions (direct):
Se 0.1965 0.6934 0.3930
Se 0.8035 0.3066 0.6070
Ag 0.8570 0.6103 0.7139
Ag 0.3600 0.0832 0.7201
Ag 0.1430 0.3897 0.2861
Ag 0.0321 0.7378 0.0641
Ag 0.9679 0.2622 0.9359
Ag 0.6400 0.9168 0.2799
S 0.4231 0.7755 0.8463
S 0.5769 0.2245 0.1537

Calculated values
Polymorph energy (0 for the lowest one), eV per atom: 0.030
Raw total energy, eV/atom: -3.20
Formation energy without anion corrections, eV/atom: 0.03

***

# 16
Compound: YSc2Ag
Source: the Alexandria database
Functional: PBE
Structure: optimized geometry

Lattice parameters (Å, degrees): 3.4289 3.4289 8.3292 90.00 90.00 90.00
Positions (direct):
Sc 0.0000 0.0000 0.9746
Sc 0.5000 0.5000 0.2306
Ag 0.5000 0.5000 0.7736
Y 0.0000 0.0000 0.5212

Calculated values
Polymorph energy (0 for the lowest one), eV per atom: 0.020
Raw total energy, eV/atom: -5.59
Formation enthalpy at 0 K, eV per atom: -0.095

***

# 17
Compound: PmDyY2
Source: the Alexandria database
Functional: PBE
Structure: optimized geometry

Lattice parameters (Å, degrees): 3.6095 3.6079 11.7739 81.24 89.99 59.99
Positions (direct):
Dy 0.4805 0.1798 0.6217
Y 0.6481 0.8446 0.1259
Y 0.0641 0.0126 0.3742
Pm 0.8970 0.3467 0.8745

Calculated values
Polymorph energy (0 for the lowest one), eV per atom: 0.003
Raw total energy, eV/atom: -5.56
Formation enthalpy at 0 K, eV per atom: 0.014

***

# 18
Compound: SrLa12Sn4N3
Source: the Alexandria database
Functional: PBE
Structure: optimized geometry

Lattice parameters (Å, degrees): 9.0030 9.0030 9.0030 109.47 109.47 109.47
Positions (direct):
N 0.0000 0.5000 0.5000
N 0.5000 0.5000 0.0000
N 0.5000 0.0000 0.5000
La 0.5000 0.7500 0.2500
La 0.0000 0.7272 0.7272
La 0.7272 0.7272 0.0000
La 0.5000 0.2500 0.7500
La 0.0000 0.2728 0.2728
La 0.2500 0.7500 0.5000
La 0.2500 0.5000 0.7500
La 0.7500 0.2500 0.5000
La 0.2728 0.0000 0.2728
La 0.7272 0.0000 0.7272
La 0.2728 0.2728 0.0000
La 0.7500 0.5000 0.2500
Sr 0.0000 0.0000 0.0000
Sn 0.5000 0.0000 0.0000
Sn 0.0000 0.0000 0.5000
Sn 0.0000 0.5000 0.0000
Sn 0.5000 0.5000 0.5000

Calculated values
Raw total energy, eV/atom: -5.71
Formation energy without anion corrections, eV/atom: -0.62

***

# 19
Compound: TbCeTh2Bi5
Source: the Alexandria database
Functional: PBE
Structure: optimized geometry

Lattice parameters (Å, degrees): 5.4450 5.4450 11.8834 90.00 90.00 90.00
Positions (direct):
Bi 0.0000 0.0000 0.2498
Bi 0.0000 0.0000 0.7502
Bi 0.0000 0.5000 0.5000
Bi 0.5000 0.0000 0.5000
Bi 0.5000 0.5000 0.0000
Tb 0.0000 0.0000 0.5000
Ce 0.0000 0.0000 0.0000
Th 0.5000 0.5000 0.3077
Th 0.5000 0.5000 0.6923

Calculated values
Raw total energy, eV/atom: -4.93
Formation enthalpy at 0 K, eV per atom: 0.053

***

# 20
Compound: MnPSeSN
Source: the Alexandria database
Functional: PBE
Structure: optimized geometry

Lattice parameters (Å, degrees): 6.4452 3.3510 9.0091 90.00 92.63 90.00
Positions (direct):
P 0.3983 0.5000 0.9952
P 0.3983 0.0000 0.4952
N 0.4289 0.5000 0.8234
N 0.4289 0.0000 0.3234
Mn 0.5599 0.5000 0.6541
Mn 0.5599 0.0000 0.1541
Se 0.8533 0.5000 0.4851
Se 0.8533 0.0000 0.9851
S 0.7896 0.0000 0.7446
S 0.7896 0.5000 0.2446

Calculated values
Polymorph energy (0 for the lowest one), eV per atom: 0.169
Raw total energy, eV/atom: -6.05
Formation energy without anion corrections, eV/atom: 0.05